[1]
Ac3Zn2NiPd9, relaxed, DFT PBE; VASP energy = -73.721 eV for the cell shown; V = 21.57 Å³/atom; calculated formation energy = -422 meV/atom
1.0
7.478 0.000 0.000
-3.739 6.476 0.000
0.000 0.000 6.681
Pd Ni Ac Zn
9 1 3 2
Direct
0.667 0.833 0.336 Pd
0.833 0.167 0.664 Pd
0.500 0.000 0.000 Pd
0.833 0.667 0.664 Pd
0.167 0.833 0.336 Pd
0.333 0.167 0.664 Pd
0.167 0.333 0.336 Pd
0.000 0.500 0.000 Pd
0.500 0.500 0.000 Pd
0.000 0.000 0.500 Ni
0.333 0.667 0.664 Ac
0.000 0.000 0.000 Ac
0.667 0.333 0.336 Ac
0.667 0.333 0.830 Zn
0.333 0.667 0.170 Zn

[2]
LaMg2Tl, relaxed, DFT PBE; VASP energy = -10.544 eV for the cell shown; E above lowest polymorph = 210 meV/atom; V = 28.04 Å³/atom; calculated formation energy = -15 meV/atom
1.0
-3.425 5.947 -8.925
-6.160 3.928 -8.566
-5.911 6.808 -6.742
Mg Tl La
2 1 1
Direct
0.994 0.994 0.994 Mg
0.506 0.506 0.506 Mg
0.250 0.250 0.250 Tl
0.750 0.750 0.750 La

[3]
BaAgSn2Hg, relaxed, DFT PBE; VASP energy = -15.026 eV for the cell shown; V = 29.07 Å³/atom; calculated formation energy = -389 meV/atom
1.0
-2.364 -4.349 0.195
3.755 -1.925 2.596
-3.330 4.794 3.644
Sn Ba Hg Ag
2 1 1 1
Direct
0.622 0.622 0.244 Sn
0.378 0.378 0.756 Sn
0.000 0.000 0.000 Ba
0.250 0.750 0.500 Hg
0.750 0.250 0.500 Ag

[4]
Cs2TcICl6, relaxed, DFT PBE; VASP energy = -36.122 eV for the cell shown; E above lowest polymorph = 0 meV/atom; V = 35.57 Å³/atom; ΔE_f (raw) = -1.142 eV per atom
1.0
-3.545 5.789 -4.912
-6.090 -2.172 -6.256
-6.226 3.439 0.867
Cl I Tc Cs
6 1 1 2
Direct
0.114 0.422 0.867 Cl
0.380 0.580 0.900 Cl
0.650 0.183 0.699 Cl
0.519 0.210 0.236 Cl
0.252 0.052 0.203 Cl
0.983 0.449 0.404 Cl
0.816 0.817 0.552 I
0.316 0.316 0.051 Tc
0.110 0.051 0.808 Cs
0.523 0.581 0.295 Cs